Computed, not measured: an optimized crystal structure of NaCrBO4 at the GGA+U level of DFT.

Unit cell a=5.177 b=6.083 c=7.968 alpha=90.00 beta=90.00 gamma=90.00
Space group Imma (No. 74)
Symmetry-distinct sites (fractional):
Na 0.250 0.250 0.250 [4 per cell]
Cr 0.000 0.000 0.000 [4 per cell]
B 0.000 0.250 0.641 [4 per cell]
O 0.000 0.047 0.744 [8 per cell]
O 0.237 0.250 0.521 [8 per cell]

---

Computed, not measured: an optimized crystal structure of NaCr2BO8 at the GGA+U level of DFT.

Unit cell a=4.7616 b=4.7616 c=23.1642 alpha=90.00 beta=90.00 gamma=120.00
Space group R-3 (No. 148, hexagonal axes)
Symmetry-distinct sites (fractional):
Na 0.0000 0.0000 0.0000 [3 per cell]
Cr 0.0000 0.0000 0.2331 [6 per cell]
B 0.0000 0.0000 0.5000 [3 per cell]
O 0.0000 0.0000 0.3040 [6 per cell]
O 0.0296 0.4020 0.1233 [18 per cell]

---

Computed, not measured: an optimized crystal structure of Na3CrBPO7 at the GGA+U level of DFT.

Unit cell a=5.290 b=6.570 c=8.952 alpha=90.00 beta=91.90 gamma=90.00
Space group P2_1/m (No. 11)
Symmetry-distinct sites (fractional):
Na 0.239 0.250 0.073 [2 per cell]
Na 0.249 0.505 0.745 [4 per cell]
Cr 0.222 0.750 0.336 [2 per cell]
B 0.274 0.750 0.068 [2 per cell]
P 0.280 0.250 0.423 [2 per cell]
O 0.039 0.750 0.137 [2 per cell]
O 0.127 0.250 0.566 [2 per cell]
O 0.213 0.063 0.322 [4 per cell]
O 0.307 0.750 0.920 [2 per cell]
O 0.431 0.750 0.536 [2 per cell]
O 0.473 0.750 0.177 [2 per cell]

---

Going through the records in order, we get E values of -187.2; -230.6; -173.3 eV/cell.